An optimized crystal structure of Pm3Ho5Tl2. Source: Alexandria, functional PBE.

a b c (Å): 10.5768 10.5768 10.5768
angles (deg): 104.80 86.03 144.47
Fractional coordinates of all 20 atoms:
Pm: 0.2373 0.1189 0.3562
Pm: 0.2500 0.2500 0.0000
Pm: 0.2627 0.6189 0.8816
Pm: 0.7373 0.3811 0.1184
Pm: 0.7500 0.7500 0.0000
Pm: 0.7627 0.8811 0.6438
Ho: 0.1636 0.3810 0.5447
Ho: 0.2500 0.5037 0.2537
Ho: 0.2500 0.7500 0.5000
Ho: 0.2500 0.9963 0.7463
Ho: 0.3364 0.8810 0.2174
Ho: 0.6636 0.1190 0.7826
Ho: 0.7500 0.0037 0.2537
Ho: 0.7500 0.2500 0.5000
Ho: 0.7500 0.4963 0.7463
Ho: 0.8364 0.6190 0.4553
Tl: 0.1461 0.8640 0.0101
Tl: 0.3539 0.3640 0.7178
Tl: 0.6461 0.6360 0.2822
Tl: 0.8539 0.1360 0.9899

* calculated formation energy: 0.090 eV per atom
* calculated total energy: -4.098 eV/atom
* space-group type: Ibam (72)



An optimized crystal structure of Pm3Ho4Tl2. Source: Alexandria, functional PBE.

a b c (Å): 8.0394 8.0394 7.6388
angles (deg): 107.98 107.98 36.04
Fractional coordinates of all 9 atoms:
Pm: 0.0000 0.0000 0.0000
Pm: 0.1148 0.1148 0.6742
Pm: 0.8852 0.8852 0.3258
Ho: 0.2208 0.2208 0.3153
Ho: 0.4408 0.4408 0.6661
Ho: 0.5592 0.5592 0.3339
Ho: 0.7792 0.7792 0.6847
Tl: 0.3428 0.3428 0.0003
Tl: 0.6572 0.6572 0.9997

* calculated formation energy: -0.110 eV per atom
* calculated total energy: -4.254 eV/atom
* space-group type: C2/m (12)



An optimized crystal structure of Pm2Ho5Tl4. Source: Alexandria, functional PBE.

a b c (Å): 11.5010 11.5010 8.6598
angles (deg): 90.66 90.66 17.38
Fractional coordinates of all 11 atoms:
Pm: 0.0502 0.0502 0.1537
Pm: 0.9498 0.9498 0.8463
Ho: 0.1574 0.1574 0.4408
Ho: 0.1883 0.1883 0.0329
Ho: 0.5000 0.5000 0.5000
Ho: 0.8117 0.8117 0.9671
Ho: 0.8426 0.8426 0.5592
Tl: 0.0860 0.0860 0.7672
Tl: 0.2886 0.2886 0.2846
Tl: 0.7114 0.7114 0.7154
Tl: 0.9140 0.9140 0.2328

* calculated formation energy: 0.034 eV per atom
* calculated total energy: -3.771 eV/atom
* space-group type: C2/m (12)



> Among the records above, which one has the highest calculated formation energy?

Pm3Ho5Tl2



> calculated total energy of number 2 (Pm3Ho4Tl2)?

-4.254 eV/atom



> Which value of calculated total energy does entry 2 give?

-4.254 eV/atom